# Be2MoSe | Alexandria via LeMat-Bulk | PBEsol | relaxed
# **Calculated total energy**: -5.533 eV/atom
# **Total magnetic moment**: 0.000 μB per atom
# **Formation energy (no corrections)**: 0.37 eV/atom
data_Be2MoSe
_chemical_formula_sum 'Be2 Mo1 Se1'
_space_group_name_H-M_alt 'P 1'
_space_group_IT_number 1
_space_group_name_Hall 'P 1'
_cell_length_a 2.673
_cell_length_b 2.673
_cell_length_c 7.914
_cell_angle_alpha 90.00
_cell_angle_beta 90.00
_cell_angle_gamma 104.50
loop_
_atom_site_label
_atom_site_fract_x
_atom_site_fract_y
_atom_site_fract_z
Mo1 0.500 0.500 0.500
Se1 0.500 0.500 0.000
Be1 0.000 0.000 0.278
Be2 0.000 0.000 0.722